1.
Below is K2Pt4Pb5 after structural relaxation, with properties calculated at the GGA-PBE level.

```
data_K2Pt4Pb5
_cell_length_a 12.743
_cell_length_b 6.981
_cell_length_c 8.842
_cell_angle_alpha 90.00
_cell_angle_beta 118.65
_cell_angle_gamma 90.00
_symmetry_space_group_name_H-M 'C 1 2/m 1'
_symmetry_Int_Tables_number 12
loop_
_symmetry_equiv_pos_as_xyz
'x,y,z'
'-x,-y,-z'
'-x,y,-z'
'x,-y,z'
'x+1/2,y+1/2,z'
'-x+1/2,-y+1/2,-z'
'-x+1/2,y+1/2,-z'
'x+1/2,-y+1/2,z'
loop_
_atom_site_label
_atom_site_type_symbol
_atom_site_fract_x
_atom_site_fract_y
_atom_site_fract_z
_atom_site_occupancy
K1 K 0.144 0.000 0.441 1
Pt1 Pt 0.070 0.500 0.253 1
Pt2 Pt 0.169 0.500 0.840 1
Pb1 Pb 0.000 0.500 0.500 1
Pb2 Pb 0.143 0.254 0.076 1
```

Summary:
* E: -4.203 eV per atom
* E_form: -0.122 eV per atom


2.
Below is K3Pt2Pb3 after structural relaxation, with properties calculated at the GGA-PBE level.

```
data_K3Pt2Pb3
_cell_length_a 9.050
_cell_length_b 16.622
_cell_length_c 6.677
_cell_angle_alpha 90.00
_cell_angle_beta 90.00
_cell_angle_gamma 90.00
_symmetry_space_group_name_H-M 'P n m a'
_symmetry_Int_Tables_number 62
loop_
_symmetry_equiv_pos_as_xyz
'x,y,z'
'-x,-y,-z'
'-x+1/2,-y,z+1/2'
'x+1/2,y,-z+1/2'
'x+1/2,-y+1/2,-z+1/2'
'-x+1/2,y+1/2,z+1/2'
'-x,y+1/2,-z'
'x,-y+1/2,z'
loop_
_atom_site_label
_atom_site_type_symbol
_atom_site_fract_x
_atom_site_fract_y
_atom_site_fract_z
_atom_site_occupancy
K1 K 0.037 0.113 0.098 1
K2 K 0.212 0.250 0.593 1
Pt1 Pt 0.112 0.603 0.386 1
Pb1 Pb 0.148 0.750 0.570 1
Pb2 Pb 0.172 0.038 0.617 1
```

Summary:
* E: -3.494 eV per atom
* E_form: -0.181 eV per atom


3.
Below is K2Pt3Pb5 after structural relaxation, with properties calculated at the GGA-PBE level.

```
data_K2Pt3Pb5
_cell_length_a 4.789
_cell_length_b 28.466
_cell_length_c 7.704
_cell_angle_alpha 90.00
_cell_angle_beta 90.00
_cell_angle_gamma 90.00
_symmetry_space_group_name_H-M 'C m c 21'
_symmetry_Int_Tables_number 36
loop_
_symmetry_equiv_pos_as_xyz
'x,y,z'
'-x,-y,z+1/2'
'-x,y,z'
'x,-y,z+1/2'
'x+1/2,y+1/2,z'
'-x+1/2,-y+1/2,z+1/2'
'-x+1/2,y+1/2,z'
'x+1/2,-y+1/2,z+1/2'
loop_
_atom_site_label
_atom_site_type_symbol
_atom_site_fract_x
_atom_site_fract_y
_atom_site_fract_z
_atom_site_occupancy
K1 K 0.000 0.022 0.000 1
K2 K 0.000 0.325 0.026 1
Pt1 Pt 0.000 0.106 0.736 1
Pt2 Pt 0.000 0.276 0.533 1
Pt3 Pt 0.000 0.448 0.795 1
Pb1 Pb 0.000 0.099 0.366 1
Pb2 Pb 0.000 0.204 0.818 1
Pb3 Pb 0.000 0.210 0.239 1
Pb4 Pb 0.000 0.377 0.501 1
Pb5 Pb 0.000 0.450 0.169 1
```

Summary:
* E: -4.115 eV per atom
* E_form: -0.229 eV per atom


4.
Below is KPtPb3 after structural relaxation, with properties calculated at the GGA-PBE level.

```
data_KPtPb3
_cell_length_a 9.170
_cell_length_b 7.465
_cell_length_c 10.041
_cell_angle_alpha 90.00
_cell_angle_beta 116.26
_cell_angle_gamma 90.00
_symmetry_space_group_name_H-M 'P 1 21/c 1'
_symmetry_Int_Tables_number 14
loop_
_symmetry_equiv_pos_as_xyz
'x,y,z'
'-x,-y,-z'
'-x,y+1/2,-z+1/2'
'x,-y+1/2,z+1/2'
loop_
_atom_site_label
_atom_site_type_symbol
_atom_site_fract_x
_atom_site_fract_y
_atom_site_fract_z
_atom_site_occupancy
K1 K 0.148 0.089 0.255 1
Pt1 Pt 0.440 0.652 0.045 1
Pb1 Pb 0.149 0.648 0.092 1
Pb2 Pb 0.291 0.522 0.434 1
Pb3 Pb 0.443 0.185 0.671 1
```

Summary:
* E: -3.824 eV per atom
* E_form: -0.172 eV per atom


Repeat the fourth record exactly.
Below is KPtPb3 after structural relaxation, with properties calculated at the GGA-PBE level.

```
data_KPtPb3
_cell_length_a 9.170
_cell_length_b 7.465
_cell_length_c 10.041
_cell_angle_alpha 90.00
_cell_angle_beta 116.26
_cell_angle_gamma 90.00
_symmetry_space_group_name_H-M 'P 1 21/c 1'
_symmetry_Int_Tables_number 14
loop_
_symmetry_equiv_pos_as_xyz
'x,y,z'
'-x,-y,-z'
'-x,y+1/2,-z+1/2'
'x,-y+1/2,z+1/2'
loop_
_atom_site_label
_atom_site_type_symbol
_atom_site_fract_x
_atom_site_fract_y
_atom_site_fract_z
_atom_site_occupancy
K1 K 0.148 0.089 0.255 1
Pt1 Pt 0.440 0.652 0.045 1
Pb1 Pb 0.149 0.648 0.092 1
Pb2 Pb 0.291 0.522 0.434 1
Pb3 Pb 0.443 0.185 0.671 1
```

Summary:
* E: -3.824 eV per atom
* E_form: -0.172 eV per atom


- E_form of number 3 (K2Pt3Pb5)?
  -0.229 eV per atom


- The lowest E belongs to which entry?
  K2Pt4Pb5